No. 1
First-principles (GGA-PBE) data for crystalline CaP2O2 at its relaxed geometry, as listed in Alexandria via LeMat-Bulk.

a = 3.8360 Å, b = 3.8360 Å, c = 4.5311 Å
α = 90.00°, β = 90.00°, γ = 90.00°
Space group P4/mmm (No. 123)
Symmetry-distinct sites (fractional):
Ca  0.0000  0.0000  0.0000
P  0.5000  0.5000  0.0000
P  0.5000  0.5000  0.5000
O  0.0000  0.5000  0.5000

Results
The calculation puts the density of states at the Fermi level at 0.43 states/eV/atom. The energy relative to the elements, uncorrected comes out at -20.00 kcal/mol of atoms. The energy relative to the lowest polymorph listed for this composition comes out at 0.000 eV/atom.

=====

No. 2
First-principles (GGA-PBE) data for crystalline Zn6NiAg at its relaxed geometry, as listed in Alexandria via LeMat-Bulk.

a = 3.8310 Å, b = 3.8310 Å, c = 7.8484 Å
α = 90.00°, β = 90.00°, γ = 90.00°
Space group P4/mmm (No. 123)
Symmetry-distinct sites (fractional):
Zn  0.0000  0.0000  0.0000
Zn  0.0000  0.0000  0.5000
Zn  0.0000  0.5000  0.2327
Ni  0.5000  0.5000  0.0000
Ag  0.5000  0.5000  0.5000

Results
The calculation puts the density of states at the Fermi level at 0.33 states/eV/atom. The calculation puts the energy relative to the elements at -73 meV per atom.

=====

No. 3
First-principles (GGA-PBE) data for crystalline MnSnPb2Br8 at its relaxed geometry, as listed in Alexandria via LeMat-Bulk.

a = 6.7161 Å, b = 8.7726 Å, c = 7.0816 Å
α = 90.00°, β = 90.53°, γ = 90.00°
Space group P2/m (No. 10)
Symmetry-distinct sites (fractional):
Mn  0.0000  0.0000  0.0000
Sn  0.0000  0.5000  0.0000
Pb  0.5000  0.2384  0.5000
Br  0.2241  0.2252  0.1487
Br  0.2354  0.0000  0.6835
Br  0.2569  0.5000  0.6590

Results
The calculation puts the density of states at the Fermi level at 0.00 states/eV/atom. The energy relative to the elements, uncorrected comes out at -18.77 kcal/mol of atoms.

=====

No. 4
First-principles (GGA-PBE) data for crystalline ErMgTlSn at its relaxed geometry, as listed in Alexandria via LeMat-Bulk.

a = 4.3787 Å, b = 4.6519 Å, c = 4.8866 Å
α = 90.00°, β = 90.00°, γ = 90.00°
Space group Pmmm (No. 47)
Symmetry-distinct sites (fractional):
Er  0.0000  0.0000  0.0000
Mg  0.0000  0.5000  0.5000
Tl  0.5000  0.0000  0.5000
Sn  0.5000  0.5000  0.0000

Results
The calculation puts the density of states at the Fermi level at 0.38 states/eV/atom. The calculation puts the energy relative to the elements at -364 meV per atom. The energy relative to the lowest polymorph listed for this composition comes out at 0.000 eV/atom.

=====

No. 5
First-principles (GGA-PBE) data for crystalline Ti2MnRhN at its relaxed geometry, as listed in Alexandria via LeMat-Bulk.

a = 4.1249 Å, b = 4.1249 Å, c = 3.7359 Å
α = 90.00°, β = 90.00°, γ = 90.00°
Space group P4/mmm (No. 123)
Symmetry-distinct sites (fractional):
Ti  0.0000  0.5000  0.0000
Mn  0.0000  0.0000  0.5000
Rh  0.5000  0.5000  0.5000
N  0.0000  0.0000  0.0000

Results
The calculation puts the density of states at the Fermi level at 0.97 states/eV/atom. The energy relative to the elements, uncorrected comes out at -19.42 kcal/mol of atoms.

=====

No. 6
First-principles (GGA-PBE) data for crystalline Sm8Ni3CI4 at its relaxed geometry, as listed in Alexandria via LeMat-Bulk.

a = 8.1008 Å, b = 8.1008 Å, c = 23.6083 Å
α = 90.00°, β = 90.00°, γ = 120.00°
Space group R-3m (No. 166, hexagonal axes)
Symmetry-distinct sites (fractional):
Sm  0.0000  0.0000  0.2271
Sm  0.0163  0.5081  0.2252
Ni  0.0000  0.5000  0.5000
C  0.0000  0.0000  0.5000
I  0.0000  0.0000  0.0000
I  0.0000  0.5000  0.0000

Results
The calculation puts the density of states at the Fermi level at 0.70 states/eV/atom. The energy relative to the elements, uncorrected comes out at -14.67 kcal/mol of atoms.

=====

Copy entry 1 word for word.
First-principles (GGA-PBE) data for crystalline CaP2O2 at its relaxed geometry, as listed in Alexandria via LeMat-Bulk.

a = 3.8360 Å, b = 3.8360 Å, c = 4.5311 Å
α = 90.00°, β = 90.00°, γ = 90.00°
Space group P4/mmm (No. 123)
Symmetry-distinct sites (fractional):
Ca  0.0000  0.0000  0.0000
P  0.5000  0.5000  0.0000
P  0.5000  0.5000  0.5000
O  0.0000  0.5000  0.5000

Results
The calculation puts the density of states at the Fermi level at 0.43 states/eV/atom. The energy relative to the elements, uncorrected comes out at -20.00 kcal/mol of atoms. The energy relative to the lowest polymorph listed for this composition comes out at 0.000 eV/atom.

=====

What did the third record say?
First-principles (GGA-PBE) data for crystalline MnSnPb2Br8 at its relaxed geometry, as listed in Alexandria via LeMat-Bulk.

a = 6.7161 Å, b = 8.7726 Å, c = 7.0816 Å
α = 90.00°, β = 90.53°, γ = 90.00°
Space group P2/m (No. 10)
Symmetry-distinct sites (fractional):
Mn  0.0000  0.0000  0.0000
Sn  0.0000  0.5000  0.0000
Pb  0.5000  0.2384  0.5000
Br  0.2241  0.2252  0.1487
Br  0.2354  0.0000  0.6835
Br  0.2569  0.5000  0.6590

Results
The calculation puts the density of states at the Fermi level at 0.00 states/eV/atom. The energy relative to the elements, uncorrected comes out at -18.77 kcal/mol of atoms.

=====

What did the fifth record say?
First-principles (GGA-PBE) data for crystalline Ti2MnRhN at its relaxed geometry, as listed in Alexandria via LeMat-Bulk.

a = 4.1249 Å, b = 4.1249 Å, c = 3.7359 Å
α = 90.00°, β = 90.00°, γ = 90.00°
Space group P4/mmm (No. 123)
Symmetry-distinct sites (fractional):
Ti  0.0000  0.5000  0.0000
Mn  0.0000  0.0000  0.5000
Rh  0.5000  0.5000  0.5000
N  0.0000  0.0000  0.0000

Results
The calculation puts the density of states at the Fermi level at 0.97 states/eV/atom. The energy relative to the elements, uncorrected comes out at -19.42 kcal/mol of atoms.